(1)
VASP calculation (SCAN) on CeBC at its PBEsol-relaxed geometry.

Cell: 8.1957 8.2056 11.9243 Å, 90.00 90.00 90.00°
Closest atoms and distances in Å follow each position.
Sites, in units of the cell vectors:
Ce 0.0531 0.0985 0.1365  4 C 2.61-2.72, 6 B 2.67-2.81
Ce 0.0576 0.7006 0.6364  5 C 2.52-2.80, 4 B 2.66-2.69
Ce 0.1570 0.9906 0.4109  4 C 2.42-2.71
Ce 0.1576 0.5921 0.9041  5 C 2.51-2.76, 3 B 2.62-2.78
Ce 0.2435 0.2909 0.6642  4 C 2.46-2.76, 1 B 2.69
Ce 0.2565 0.7091 0.1642  4 C 2.46-2.76, 1 B 2.69
Ce 0.3424 0.4079 0.4041  5 C 2.51-2.76, 3 B 2.62-2.78
Ce 0.3430 0.0094 0.9109  4 C 2.42-2.71
Ce 0.4424 0.2994 0.1364  5 C 2.52-2.80, 4 B 2.66-2.69
Ce 0.4469 0.9015 0.6365  4 C 2.61-2.72, 6 B 2.67-2.81
Ce 0.5531 0.4015 0.8635  4 C 2.61-2.72, 6 B 2.67-2.81
Ce 0.5576 0.7994 0.3636  5 C 2.52-2.80, 4 B 2.66-2.69
Ce 0.6570 0.5094 0.5891  4 C 2.42-2.71
Ce 0.6576 0.9079 0.0959  5 C 2.51-2.76, 3 B 2.62-2.78
Ce 0.7435 0.2091 0.3358  4 C 2.46-2.76, 1 B 2.69
Ce 0.7565 0.7909 0.8358  4 C 2.46-2.76, 1 B 2.69
Ce 0.8424 0.0921 0.5959  5 C 2.51-2.76, 3 B 2.62-2.78
Ce 0.8430 0.4906 0.0891  4 C 2.42-2.71
Ce 0.9424 0.2006 0.8636  5 C 2.52-2.80, 4 B 2.66-2.69
Ce 0.9469 0.5985 0.3635  4 C 2.61-2.72, 6 B 2.67-2.81
B 0.0272 0.8948 0.9577  2 C 1.50
B 0.0596 0.2947 0.3193  1 C 1.49, 1 B 1.64
B 0.1070 0.9872 0.7355  2 C 1.49-1.50
B 0.1258 0.4042 0.2134  1 C 1.49, 1 B 1.64
B 0.1932 0.3002 0.9891  2 C 1.49-1.51
B 0.3068 0.6998 0.4891  2 C 1.49-1.51
B 0.3742 0.5958 0.7134  1 C 1.49, 1 B 1.64
B 0.3930 0.0128 0.2355  2 C 1.49-1.50
B 0.4404 0.7053 0.8193  1 C 1.49, 1 B 1.64
B 0.4728 0.1052 0.4577  2 C 1.50
B 0.5272 0.6052 0.0423  2 C 1.50
B 0.5596 0.2053 0.6807  1 C 1.49, 1 B 1.64
B 0.6070 0.5128 0.2645  2 C 1.49-1.50
B 0.6258 0.0958 0.7866  1 C 1.49, 1 B 1.64
B 0.6932 0.1998 0.0109  2 C 1.49-1.51
B 0.8068 0.8002 0.5109  2 C 1.49-1.51
B 0.8742 0.9042 0.2866  1 C 1.49, 1 B 1.64
B 0.8930 0.4872 0.7645  2 C 1.49-1.50
B 0.9404 0.7947 0.1807  1 C 1.49, 1 B 1.64
B 0.9728 0.3948 0.5423  2 C 1.50
C 0.0283 0.2981 0.4422  2 B 1.49-1.50
C 0.0590 0.8837 0.8342  2 B 1.50
C 0.1445 0.9937 0.6137  1 B 1.49
C 0.1518 0.4045 0.0895  2 B 1.49-1.51
C 0.2503 0.3051 0.8706  1 B 1.49
C 0.2497 0.6949 0.3706  1 B 1.49
C 0.3482 0.5955 0.5895  2 B 1.49-1.51
C 0.3555 0.0063 0.1137  1 B 1.49
C 0.4410 0.1163 0.3342  2 B 1.50
C 0.4717 0.7019 0.9422  2 B 1.49-1.50
C 0.5283 0.2019 0.5578  2 B 1.49-1.50
C 0.5590 0.6163 0.1658  2 B 1.50
C 0.6445 0.5063 0.3863  1 B 1.49
C 0.6518 0.0955 0.9105  2 B 1.49-1.51
C 0.7503 0.1949 0.1294  1 B 1.49
C 0.7497 0.8051 0.6294  1 B 1.49
C 0.8482 0.9045 0.4105  2 B 1.49-1.51
C 0.8555 0.4937 0.8863  1 B 1.49
C 0.9410 0.3837 0.6658  2 B 1.50
C 0.9717 0.7981 0.0578  2 B 1.49-1.50

Results
**Final energy**: -1269.66 eV per cell
**DFT formation energy**: -463 meV per atom
**SG**: No. 19
**Spin magnetization**: 0.00 μB per atom
**Density**: 6748 kg/m3



(2)
VASP calculation (SCAN) on CeNi2B2C at its PBEsol-relaxed geometry.

Cell: 5.6518 5.6518 5.6518 Å, 143.04 143.04 53.27°
Closest atoms and distances in Å follow each position.
Sites, in units of the cell vectors:
Ce 0.0000 0.0000 0.0000  4 C 2.53
Ni 0.2500 0.7500 0.5000  4 B 2.07
Ni 0.7500 0.2500 0.5000  4 B 2.07
B 0.3517 0.3517 0.0000  1 C 1.50
B 0.6483 0.6483 0.0000  1 C 1.50
C 0.5000 0.5000 0.0000  2 B 1.50

Results
**Final energy**: -104.98 eV per cell
**DFT formation energy**: -518 meV per atom
**SG**: No. 139
**Spin magnetization**: 0.06 μB per atom
**Density**: 7454 kg/m3



(3)
VASP calculation (SCAN) on CeB2Pd2C at its PBEsol-relaxed geometry.

Cell: 5.9529 5.9529 5.9529 Å, 143.06 143.06 53.24°
Closest atoms and distances in Å follow each position.
Sites, in units of the cell vectors:
Ce 0.0000 0.0000 0.0000  4 C 2.67
B 0.3608 0.3608 0.0000  1 C 1.48
B 0.6392 0.6392 0.0000  1 C 1.48
Pd 0.2500 0.7500 0.5000  4 B 2.22
Pd 0.7500 0.2500 0.5000  4 B 2.22
C 0.5000 0.5000 0.0000  2 B 1.48

Results
**Final energy**: -138.55 eV per cell
**DFT formation energy**: -580 meV per atom
**SG**: No. 139
**Spin magnetization**: 0.15 μB per atom
**Density**: 8477 kg/m3



(4)
VASP calculation (SCAN) on SiBH6C2NCl2 at its PBEsol-relaxed geometry.

Cell: 10.7133 10.7133 10.7133 Å, 104.34 104.34 104.34°
Closest atoms and distances in Å follow each position.
Sites, in units of the cell vectors:
Si 0.0236 0.2033 0.7732  2 C 1.85
Si 0.2033 0.7732 0.0236  2 C 1.85
Si 0.2732 0.7033 0.5236  2 C 1.85
Si 0.5236 0.2732 0.7033  2 C 1.85
Si 0.7033 0.5236 0.2732  2 C 1.85
Si 0.7732 0.0236 0.2033  2 C 1.85
B 0.2732 0.4450 0.3716  2 N 1.43, 1 C 1.58
B 0.3716 0.2732 0.4450  2 N 1.43, 1 C 1.58
B 0.4450 0.3716 0.2732  2 N 1.43, 1 C 1.58
B 0.7732 0.8716 0.9450  2 N 1.43, 1 C 1.58
B 0.8716 0.9450 0.7732  2 N 1.43, 1 C 1.58
B 0.9450 0.7732 0.8716  2 N 1.43, 1 C 1.58
H 0.0026 0.0047 0.2538  1 C 1.10
H 0.0047 0.2538 0.0026  1 C 1.10
H 0.0141 0.8504 0.7281  1 N 1.02
H 0.0634 0.6454 0.7911  1 C 1.11
H 0.0883 0.4882 0.4067  1 C 1.10
H 0.0945 0.4053 0.9766  1 C 1.10
H 0.1454 0.5634 0.2911  1 C 1.11
H 0.2281 0.3504 0.5141  1 N 1.02
H 0.2538 0.0026 0.0047  1 C 1.10
H 0.2911 0.1454 0.5634  1 C 1.11
H 0.3334 0.9033 0.9118  1 C 1.10
H 0.3504 0.5141 0.2281  1 N 1.02
H 0.4033 0.8334 0.4118  1 C 1.10
H 0.4053 0.9766 0.0945  1 C 1.10
H 0.4067 0.0883 0.4882  1 C 1.10
H 0.4118 0.4033 0.8334  1 C 1.10
H 0.4766 0.9053 0.5945  1 C 1.10
H 0.4882 0.4067 0.0883  1 C 1.10
H 0.5026 0.7538 0.5047  1 C 1.10
H 0.5047 0.5026 0.7538  1 C 1.10
H 0.5141 0.2281 0.3504  1 N 1.02
H 0.5634 0.2911 0.1454  1 C 1.11
H 0.5883 0.9067 0.9882  1 C 1.10
H 0.5945 0.4766 0.9053  1 C 1.10
H 0.6454 0.7911 0.0634  1 C 1.11
H 0.7281 0.0141 0.8504  1 N 1.02
H 0.7538 0.5047 0.5026  1 C 1.10
H 0.7911 0.0634 0.6454  1 C 1.11
H 0.8334 0.4118 0.4033  1 C 1.10
H 0.8504 0.7281 0.0141  1 N 1.02
H 0.9033 0.9118 0.3334  1 C 1.10
H 0.9053 0.5945 0.4766  1 C 1.10
H 0.9067 0.9882 0.5883  1 C 1.10
H 0.9118 0.3334 0.9033  1 C 1.10
H 0.9766 0.0945 0.4053  1 C 1.10
H 0.9882 0.5883 0.9067  1 C 1.10
C 0.0074 0.3095 0.9289  3 H 1.10
C 0.0379 0.6801 0.8850  2 H 1.10-1.11
C 0.1801 0.5379 0.3850  2 H 1.10-1.11
C 0.3095 0.9289 0.0074  3 H 1.10
C 0.3850 0.1801 0.5379  2 H 1.10-1.11
C 0.4289 0.8095 0.5074  3 H 1.10
C 0.5074 0.4289 0.8095  3 H 1.10
C 0.5379 0.3850 0.1801  2 H 1.10-1.11
C 0.6801 0.8850 0.0380  2 H 1.10-1.11
C 0.8095 0.5074 0.4289  3 H 1.10
C 0.8850 0.0380 0.6801  2 H 1.10-1.11
C 0.9289 0.0074 0.3095  3 H 1.10
N 0.2843 0.3551 0.4500  1 H 1.02
N 0.3551 0.4500 0.2843  1 H 1.02
N 0.4500 0.2843 0.3551  1 H 1.02
N 0.7843 0.9500 0.8551  1 H 1.02
N 0.8551 0.7843 0.9500  1 H 1.02
N 0.9500 0.8551 0.7843  1 H 1.02
Cl 0.0419 0.3184 0.6437  1 Si 2.09
Cl 0.1437 0.8184 0.5419  1 Si 2.09
Cl 0.1667 0.8252 0.2077  1 Si 2.07
Cl 0.2077 0.1667 0.8252  1 Si 2.07
Cl 0.3184 0.6437 0.0419  1 Si 2.09
Cl 0.3252 0.6667 0.7077  1 Si 2.07
Cl 0.5419 0.1437 0.8184  1 Si 2.09
Cl 0.6437 0.0419 0.3184  1 Si 2.09
Cl 0.6667 0.7077 0.3252  1 Si 2.07
Cl 0.7077 0.3252 0.6667  1 Si 2.07
Cl 0.8184 0.5419 0.1437  1 Si 2.09
Cl 0.8252 0.2077 0.1667  1 Si 2.07

Results
**Final energy**: -549.90 eV per cell
**SG**: No. 161
**Spin magnetization**: 0.00 μB per atom
**Density**: 1407 kg/m3



(5)
VASP calculation (SCAN) on Sr3BCNCl2 at its PBEsol-relaxed geometry.

Cell: 14.4857 4.0325 11.5864 Å, 90.00 90.00 90.00°
Closest atoms and distances in Å follow each position.
Sites, in units of the cell vectors:
Sr 0.1108 0.2500 0.1326  2 C 2.74, 2 B 2.81, 3 Cl 2.95-3.02
Sr 0.1417 0.7500 0.4383  2 N 2.56, 1 C 2.66
Sr 0.1761 0.7500 0.8017  1 N 2.51, 2 C 2.71
Sr 0.3239 0.2500 0.3017  1 N 2.51, 2 C 2.71
Sr 0.3583 0.2500 0.9383  2 N 2.56, 1 C 2.66
Sr 0.3892 0.7500 0.6326  2 C 2.74, 2 B 2.81, 3 Cl 2.95-3.02
Sr 0.6108 0.2500 0.3674  2 C 2.74, 2 B 2.81, 3 Cl 2.95-3.02
Sr 0.6417 0.7500 0.0617  2 N 2.56, 1 C 2.66
Sr 0.6761 0.7500 0.6983  1 N 2.51, 2 C 2.71
Sr 0.8239 0.2500 0.1983  1 N 2.51, 2 C 2.71
Sr 0.8583 0.2500 0.5617  2 N 2.56, 1 C 2.66
Sr 0.8892 0.7500 0.8674  2 C 2.74, 2 B 2.81, 3 Cl 2.95-3.02
B 0.2446 0.7500 0.1091  1 N 1.37, 1 C 1.44
B 0.2554 0.2500 0.6091  1 N 1.37, 1 C 1.44
B 0.7446 0.7500 0.3909  1 N 1.37, 1 C 1.44
B 0.7554 0.2500 0.8909  1 N 1.37, 1 C 1.44
C 0.2143 0.7500 0.2278  1 B 1.44
C 0.2857 0.2500 0.7278  1 B 1.44
C 0.7143 0.7500 0.2722  1 B 1.44
C 0.7857 0.2500 0.7722  1 B 1.44
N 0.2419 0.2500 0.4924  1 B 1.37
N 0.2581 0.7500 0.9924  1 B 1.37
N 0.7419 0.2500 0.0076  1 B 1.37
N 0.7581 0.7500 0.5076  1 B 1.37
Cl 0.0029 0.7500 0.6407  5 Sr 3.05-3.13
Cl 0.0436 0.2500 0.8918  5 Sr 2.95-3.02
Cl 0.4564 0.7500 0.3918  5 Sr 2.95-3.02
Cl 0.4971 0.2500 0.1407  5 Sr 3.05-3.13
Cl 0.5029 0.7500 0.8593  5 Sr 3.05-3.13
Cl 0.5436 0.2500 0.6082  5 Sr 2.95-3.02
Cl 0.9564 0.7500 0.1082  5 Sr 2.95-3.02
Cl 0.9971 0.2500 0.3593  5 Sr 3.05-3.13

Results
**Final energy**: -487.89 eV per cell
**SG**: No. 62
**Uncorrected formation energy**: -1.546 eV per atom
**Spin magnetization**: 0.00 μB per atom
**Density**: 3637 kg/m3



(6)
VASP calculation (SCAN) on Nd4Fe4Co12B3C at its PBEsol-relaxed geometry.

Cell: 5.0526 5.0526 13.3493 Å, 90.00 90.00 120.00°
Closest atoms and distances in Å follow each position.
Sites, in units of the cell vectors:
Nd 0.0000 0.0000 0.0000  12 Co 2.87, 3 B 2.92, 3 C 2.92
Nd 0.0000 0.0000 0.2490  6 Fe 2.92, 12 Co 3.18-3.20
Nd 0.0000 0.0000 0.5000  12 Co 2.90, 6 B 2.92
Nd 0.0000 0.0000 0.7510  6 Fe 2.92, 12 Co 3.18-3.20
Fe 0.3333 0.6667 0.2473  6 Co 2.43-2.45
Fe 0.3333 0.6667 0.7527  6 Co 2.43-2.45
Fe 0.6667 0.3333 0.2496  6 Co 2.41-2.45
Fe 0.6667 0.3333 0.7504  6 Co 2.41-2.45
Co 0.0003 0.5002 0.3932  2 B 2.04
Co 0.0003 0.5002 0.6068  2 B 2.04
Co 0.4998 0.9997 0.3932  2 B 2.04
Co 0.4998 0.9997 0.6068  2 B 2.04
Co 0.4998 0.5002 0.3932  2 B 2.04
Co 0.4998 0.5002 0.6068  2 B 2.04
Co 0.5024 0.0049 0.1013  1 C 1.97, 1 B 2.00
Co 0.5024 0.0049 0.8987  1 C 1.97, 1 B 2.00
Co 0.5024 0.4976 0.1013  1 C 1.97, 1 B 2.00
Co 0.5024 0.4976 0.8987  1 C 1.97, 1 B 2.00
Co 0.9951 0.4976 0.1013  1 C 1.97, 1 B 2.00
Co 0.9951 0.4976 0.8987  1 C 1.97, 1 B 2.00
B 0.3333 0.6667 0.0000  6 Co 2.00
B 0.3333 0.6667 0.5000  6 Co 2.04
B 0.6667 0.3333 0.5000  6 Co 2.04
C 0.6667 0.3333 0.0000  6 Co 1.97

Results
**Final energy**: -490.39 eV per cell
**DFT formation energy**: -146 meV per atom
**SG**: No. 187
**Spin magnetization**: 0.77 μB per atom
**Density**: 8732 kg/m3



(7)
VASP calculation (SCAN) on GdCo2B2C at its PBEsol-relaxed geometry.

Cell: 5.6691 5.6691 5.6691 Å, 143.81 143.81 52.11°
Closest atoms and distances in Å follow each position.
Sites, in units of the cell vectors:
Gd 0.0000 0.0000 0.0000  4 C 2.49
Co 0.2500 0.7500 0.5000  4 B 2.04
Co 0.7500 0.2500 0.5000  4 B 2.04
B 0.3519 0.3519 0.0000  1 C 1.51
B 0.6481 0.6481 0.0000  1 C 1.51
C 0.5000 0.5000 0.0000  2 B 1.51

Results
**Final energy**: -120.64 eV per cell
**DFT formation energy**: -376 meV per atom
**SG**: No. 139
**Spin magnetization**: 1.06 μB per atom
**Density**: 8118 kg/m3



(8)
VASP calculation (SCAN) on CoBCO2 at its PBEsol-relaxed geometry.

Cell: 2.8353 2.8353 6.7493 Å, 90.00 90.00 90.00°
Closest atoms and distances in Å follow each position.
Sites, in units of the cell vectors:
Co 0.0000 0.0000 0.0000  4 B 2.00
B 0.5000 0.5000 0.0000  4 Co 2.00
C 0.0000 0.0000 0.5000  4 O 1.42
O 0.0000 0.5000 0.5000  2 C 1.42
O 0.5000 0.0000 0.5000  2 C 1.42

Results
**Final energy**: -41.13 eV per cell
**SG**: No. 123
**Uncorrected formation energy**: 1.232 eV per atom
**Spin magnetization**: 0.00 μB per atom
**Density**: 3481 kg/m3